1.
VASP calculation (GGA-PBE) on an optimized crystal structure of KYBe3.

Lattice parameters (Å, degrees): 4.8055 4.8055 4.8055 90.00 90.00 90.00
With the nearest neighbours (Å) after each atom.
Atoms (fractional coordinates):
Be1 0.0000 0.5000 0.0000  2 K 2.40
Be2 0.0000 0.0000 0.5000  2 K 2.40
Be3 0.5000 0.0000 0.0000  2 K 2.40
K1 0.0000 0.0000 0.0000  6 Be 2.40
Y1 0.5000 0.5000 0.5000  12 Be 3.40

Properties
electronic total energy = -2.011 eV/atom
distance to the lowest polymorph of the same formula = 277 meV/atom
ΔH_f (0 K) = 40.1 kcal/mol of atoms

=====

2.
VASP calculation (GGA-PBE) on an optimized crystal structure of CePmErHf.

Lattice parameters (Å, degrees): 5.4425 5.4425 5.4425 60.00 60.00 60.00
With the nearest neighbours (Å) after each atom.
Atoms (fractional coordinates):
Pm1 0.0000 0.0000 0.0000  4 Hf 3.33, 4 Er 3.33
Hf1 0.2500 0.2500 0.2500  4 Ce 3.33, 4 Pm 3.33
Er1 0.7500 0.7500 0.7500  4 Pm 3.33, 4 Ce 3.33
Ce1 0.5000 0.5000 0.5000  4 Er 3.33, 4 Hf 3.33

Properties
electronic total energy = -6.040 eV/atom
ΔH_f (0 K) = 6.0 kcal/mol of atoms

=====

The records above give, respectively, density of states at the Fermi level values of 4.255 8.247 states/eV per cell.